Here is crystalline SrZnOs2 at its relaxed geometry from Alexandria via LeMat-Bulk. Energies are from PBE.

Results
Symmetry ... R-3m
Mass density ... 12996 kg/m³
ΔH_f (0 K) ... 848 meV/atom

Unit cell a=9.7876 b=9.7876 c=9.7876 alpha=16.78 beta=16.78 gamma=16.78
Closest atoms and distances in Å follow each position.
Positions (direct):
Sr  0.0000  0.0000  0.0000  6 Sr 2.86, 6 Os 3.19
Zn  0.5000  0.5000  0.5000  6 Os 2.66, 6 Zn 2.86
Os  0.2388  0.2388  0.2388  3 Zn 2.66, 6 Os 2.86
Os  0.7612  0.7612  0.7612  3 Zn 2.66, 6 Os 2.86